(1)
{"formula": "PaS2F", "functional": "PBE", "state": "relaxed", "e_form_raw_ev_per_atom": -2.057, "de_polymorph_ev_per_fu": 0.381, "spacegroup": "No. 44", "energy_ev_per_atom": -6.9627, "mass_density_g_cm3": 6.14, "lattice_angstrom": [[5.1029, 0.7695, 0.7898], [3.3464, 4.0007, 0.2032], [1.3033, -0.5242, 5.0282]], "species": ["Pa", "S", "S", "F"], "frac_coords": [[0.1079, 0.1571, 0.4921], [0.8181, 0.4554, 0.0803], [0.8181, 0.8589, 0.4837], [0.3843, 0.6570, 0.7158]]}

***

(2)
{"formula": "NaCdNiBi2", "functional": "PBE", "state": "relaxed", "delta_e_f_mev_per_atom": 33, "spacegroup": "No. 123", "energy_ev_per_atom": -3.1221, "mass_density_g_cm3": 7.35, "lattice_angstrom": [[-4.0535, -2.6283, 1.9895], [2.2616, -4.5115, -1.3522], [2.3239, -0.1820, 4.4944]], "species": ["Ni", "Na", "Bi", "Bi", "Cd"], "frac_coords": [[0.0000, 0.0000, 0.0000], [0.5000, 0.5000, 0.5000], [0.0000, 0.5000, 0.0000], [0.5000, 0.0000, 0.0000], [0.0000, 0.0000, 0.5000]]}

***

(3)
{"formula": "RePbBr", "functional": "PBE", "state": "relaxed", "e_form_raw_ev_per_atom": 1.074, "de_polymorph_ev_per_fu": 1.020, "spacegroup": "No. 187", "energy_ev_per_atom": -4.8695, "mass_density_g_cm3": 12.40, "lattice_angstrom": [[4.7398, 0.0000, 0.0000], [-2.3699, 4.1048, 0.0000], [0.0000, 0.0000, 3.2580]], "species": ["Pb", "Re", "Br"], "frac_coords": [[0.3333, 0.6667, 0.3336], [0.6667, 0.3333, 0.8329], [0.0000, 0.0000, 0.8335]]}

***

(4)
{"formula": "La2HPtAu", "functional": "PBE", "state": "relaxed", "de_polymorph_ev_per_fu": 0.000, "spacegroup": "No. 123", "energy_ev_per_atom": -5.2949, "mass_density_g_cm3": 10.49, "lattice_angstrom": [[5.2906, 0.0000, 0.0000], [0.0000, 5.2906, 0.0000], [0.0000, 0.0000, 3.7930]], "species": ["H", "Au", "Pt", "La", "La"], "frac_coords": [[0.0000, 0.0000, 0.0000], [0.5000, 0.5000, 0.5000], [0.0000, 0.0000, 0.5000], [0.0000, 0.5000, 0.0000], [0.5000, 0.0000, 0.0000]]}

***

(5)
{"formula": "Tm2TlHg2", "functional": "PBE", "state": "relaxed", "delta_e_f_mev_per_atom": -346, "de_polymorph_ev_per_fu": 0.000, "spacegroup": "No. 127", "energy_ev_per_atom": -2.7281, "mass_density_g_cm3": 12.24, "lattice_angstrom": [[3.8277, 0.0000, 0.0000], [0.0000, 8.1774, 0.0000], [0.0000, 0.0000, 8.1774]], "species": ["Tm", "Tm", "Tm", "Tm", "Tl", "Tl", "Hg", "Hg", "Hg", "Hg"], "frac_coords": [[0.5000, 0.1697, 0.6697], [0.5000, 0.6697, 0.8303], [0.5000, 0.8303, 0.3303], [0.5000, 0.3303, 0.1697], [0.0000, 0.0000, 0.0000], [0.0000, 0.5000, 0.5000], [0.0000, 0.3712, 0.8712], [0.0000, 0.8712, 0.6288], [0.0000, 0.6288, 0.1288], [0.0000, 0.1288, 0.3712]]}

***

(6)
{"formula": "SrCd2PdRh", "functional": "PBE", "state": "relaxed", "delta_e_f_mev_per_atom": 189, "spacegroup": "No. 123", "energy_ev_per_atom": -3.0220, "mass_density_g_cm3": 6.04, "lattice_angstrom": [[5.1299, 0.0000, 0.0000], [0.0000, 5.4517, 0.0000], [0.0000, 0.0000, 5.1299]], "species": ["Sr", "Rh", "Pd", "Cd", "Cd"], "frac_coords": [[0.0000, 0.5000, 0.0000], [0.0000, 0.0000, 0.0000], [0.5000, 0.5000, 0.5000], [0.0000, 0.0000, 0.5000], [0.5000, 0.0000, 0.0000]]}